[1]
A relaxed structure of TlP2CCl. Source: Alexandria, functional GGA-PBE.

Output
* formation energy (no corrections): 2.34 eV per atom
* space group: P4/mmm
* polymorph energy (0 for the lowest one): 35.577 kcal/mol of atoms
* total DFT energy (no corrections): -0.1848 Ry/atom

Lattice parameters (Å, degrees): 5.2340 5.2340 5.3563 90.00 90.00 90.00
Last column: nearest neighbours and their distance in Å.
Sites, in units of the cell vectors:
Tl  0.0000  0.0000  0.0000  4 P 2.62, 2 Cl 2.68
P  0.0000  0.5000  0.0000  2 Tl 2.62
P  0.5000  0.0000  0.0000  2 Tl 2.62
C  0.5000  0.5000  0.5000  4 Cl 3.70, 8 P 3.74
Cl  0.0000  0.0000  0.5000  2 Tl 2.68

=====

[2]
A relaxed structure of AgPb3. Source: Alexandria, functional GGA-PBE.

Output
* space group: Cmmm
* energy of formation: 0.1141 eV/atom
* total DFT energy (no corrections): -0.2484 Ry/atom

Lattice parameters (Å, degrees): 5.8274 5.8274 3.5443 90.00 90.00 110.06
Last column: nearest neighbours and their distance in Å.
Sites, in units of the cell vectors:
Ag  0.0000  0.0000  0.0000  10 Pb 3.34-3.41, 2 Ag 3.54
Pb  0.0000  0.5000  0.5000  8 Pb 3.34-3.54, 4 Ag 3.41
Pb  0.5000  0.0000  0.5000  8 Pb 3.34-3.54, 4 Ag 3.41
Pb  0.5000  0.5000  0.0000  2 Ag 3.34, 10 Pb 3.41-3.54

=====

[3]
A relaxed structure of YMgTl2Pb. Source: Alexandria, functional GGA-PBE.

Output
* space group: P4/mmm
* energy of formation: 0.4923 eV/atom
* total DFT energy (no corrections): -0.2064 Ry/atom

Lattice parameters (Å, degrees): 5.8649 5.8649 5.9339 90.00 90.00 90.00
Last column: nearest neighbours and their distance in Å.
Sites, in units of the cell vectors:
Y  0.0000  0.0000  0.0000  2 Pb 2.97
Mg  0.5000  0.5000  0.0000  4 Y 4.15, 8 Tl 4.17
Tl  0.0000  0.5000  0.5000  2 Pb 2.93
Tl  0.5000  0.0000  0.5000  2 Pb 2.93
Pb  0.0000  0.0000  0.5000  4 Tl 2.93, 2 Y 2.97

=====

[4]
A relaxed structure of LiPuBiPb. Source: Alexandria, functional GGA-PBE.

Output
* space group: P4mm
* polymorph energy (0 for the lowest one): 0.000 kcal/mol of atoms
* energy of formation: -0.2610 eV/atom
* total DFT energy (no corrections): -0.4571 Ry/atom

Lattice parameters (Å, degrees): 3.4065 3.4065 9.1217 90.00 90.00 90.00
Last column: nearest neighbours and their distance in Å.
Sites, in units of the cell vectors:
Li  0.0000  0.0000  0.0000  4 Pb 3.17, 4 Bi 3.25, 4 Li 3.41
Pu  0.0000  0.0000  0.4958  4 Pu 3.41, 4 Bi 3.41, 4 Pb 3.44
Bi  0.5000  0.5000  0.7607  4 Li 3.25, 4 Bi 3.41, 4 Pu 3.41
Pb  0.5000  0.5000  0.2267  4 Li 3.17, 4 Pb 3.41, 4 Pu 3.44

=====

[5]
A relaxed structure of CaTb2Ir. Source: Alexandria, functional GGA-PBE.

Output
* space group: R-3m
* polymorph energy (0 for the lowest one): 3.151 kcal/mol of atoms
* energy of formation: -0.2823 eV/atom
* total DFT energy (no corrections): -0.3905 Ry/atom

Lattice parameters (Å, degrees): 10.8419 10.8419 10.8419 21.31 21.31 21.31
Last column: nearest neighbours and their distance in Å.
Sites, in units of the cell vectors:
Ca  0.0000  0.0000  0.0000  2 Tb 3.82, 6 Ca 4.01
Tb  0.1201  0.1201  0.1201  3 Ir 2.75
Tb  0.8799  0.8799  0.8799  3 Ir 2.75
Ir  0.5000  0.5000  0.5000  6 Tb 2.75

=====

[6]
A relaxed structure of ScTlGa. Source: Alexandria, functional GGA-PBE.

Output
* space group: R-3m
* polymorph energy (0 for the lowest one): 3.862 kcal/mol of atoms
* energy of formation: -0.0449 eV/atom
* total DFT energy (no corrections): -0.2906 Ry/atom

Lattice parameters (Å, degrees): 8.1531 8.1531 8.1531 33.73 33.73 33.73
Last column: nearest neighbours and their distance in Å.
Sites, in units of the cell vectors:
Sc  0.2179  0.2179  0.2179  4 Ga 2.77-2.81
Sc  0.7821  0.7821  0.7821  4 Ga 2.77-2.81
Tl  0.3782  0.3782  0.3782  3 Ga 2.97, 3 Sc 3.18
Tl  0.6218  0.6218  0.6218  3 Ga 2.97, 3 Sc 3.18
Ga  0.0958  0.0958  0.0958  4 Sc 2.77-2.81, 3 Tl 2.97
Ga  0.9042  0.9042  0.9042  4 Sc 2.77-2.81, 3 Tl 2.97

=====

[7]
A relaxed structure of In2CoMo. Source: Alexandria, functional GGA-PBE.

Output
* space group: I-4m2
* polymorph energy (0 for the lowest one): 5.390 kcal/mol of atoms
* energy of formation: 0.4510 eV/atom
* total DFT energy (no corrections): -0.3971 Ry/atom

Lattice parameters (Å, degrees): 5.2196 5.2196 5.2196 135.14 135.14 65.32
Last column: nearest neighbours and their distance in Å.
Sites, in units of the cell vectors:
In  0.0000  0.0000  0.0000  4 Co 2.82, 4 In 2.97, 4 Mo 2.97
In  0.7500  0.2500  0.5000  4 Mo 2.82, 4 Co 2.97, 4 In 2.97
Co  0.5000  0.5000  0.0000  8 In 2.82-2.97, 4 Mo 2.97
Mo  0.2500  0.7500  0.5000  8 In 2.82-2.97, 4 Co 2.97

=====

[8]
A relaxed structure of HfZrTi2O. Source: Alexandria, functional GGA-PBE.

Output
* formation energy (no corrections): -1.05 eV per atom
* space group: P4/mmm
* polymorph energy (0 for the lowest one): 0.079 kcal/mol of atoms
* total DFT energy (no corrections): -0.6538 Ry/atom

Lattice parameters (Å, degrees): 4.2840 4.2840 4.4636 90.00 90.00 90.00
Last column: nearest neighbours and their distance in Å.
Sites, in units of the cell vectors:
Hf  0.0000  0.0000  0.0000  2 O 2.23
Zr  0.5000  0.5000  0.0000  4 Hf 3.03, 8 Ti 3.09
Ti  0.0000  0.5000  0.5000  2 O 2.14
Ti  0.5000  0.0000  0.5000  2 O 2.14
O  0.0000  0.0000  0.5000  4 Ti 2.14, 2 Hf 2.23

=====

[9]
A relaxed structure of Ni2Pd2Rh. Source: Alexandria, functional GGA-PBE.

Output
* space group: Cmmm
* polymorph energy (0 for the lowest one): 5.094 kcal/mol of atoms
* energy of formation: 0.4439 eV/atom
* total DFT energy (no corrections): -0.3981 Ry/atom

Lattice parameters (Å, degrees): 3.9480 3.9480 5.1735 90.00 90.00 110.32
Last column: nearest neighbours and their distance in Å.
Sites, in units of the cell vectors:
Ni  0.1710  0.8290  0.0000  3 Ni 2.22-2.48
Ni  0.8290  0.1710  0.0000  3 Ni 2.22-2.48
Pd  0.5000  0.5000  0.2519  2 Ni 2.50, 2 Pd 2.57-2.61, 2 Rh 2.60
Pd  0.5000  0.5000  0.7481  2 Ni 2.50, 2 Pd 2.57-2.61, 2 Rh 2.60
Rh  0.0000  0.0000  0.5000  4 Pd 2.60, 4 Ni 2.81

=====

[10]
A relaxed structure of Tl2CdSbCl6. Source: Alexandria, functional GGA-PBE.

Output
* formation energy (no corrections): -0.84 eV per atom
* space group: P-1
* total DFT energy (no corrections): -0.2150 Ry/atom

Lattice parameters (Å, degrees): 7.6206 7.6617 7.6617 90.18 119.73 119.73
Last column: nearest neighbours and their distance in Å.
Sites, in units of the cell vectors:
Tl  0.0000  0.2492  0.2496  12 Cl 3.81-3.85
Tl  0.0000  0.7508  0.7504  12 Cl 3.81-3.85
Cd  0.5000  0.0000  0.5000  6 Cl 2.70-2.73
Sb  0.5000  0.5000  0.0000  6 Cl 2.69-2.71
Cl  0.0031  0.2510  0.7519  1 Sb 2.70, 1 Cd 2.73
Cl  0.4999  0.2496  0.7496  1 Cd 2.70, 1 Sb 2.71
Cl  0.5002  0.2518  0.2484  1 Sb 2.69, 1 Cd 2.73
Cl  0.4998  0.7482  0.7516  1 Sb 2.69, 1 Cd 2.73
Cl  0.5001  0.7504  0.2504  1 Cd 2.70, 1 Sb 2.71
Cl  0.9969  0.7490  0.2481  1 Sb 2.70, 1 Cd 2.73

=====

[11]
A relaxed structure of Pr13Y3. Source: Alexandria, functional GGA-PBE.

Output
* space group: Amm2
* energy of formation: 0.0104 eV/atom
* total DFT energy (no corrections): -0.3737 Ry/atom

Lattice parameters (Å, degrees): 10.4499 7.3678 7.3678 89.94 90.00 90.00
Last column: nearest neighbours and their distance in Å.
Sites, in units of the cell vectors:
Pr  0.0000  0.0000  0.0000  10 Pr 3.65-3.71, 2 Y 3.68
Pr  0.0000  0.0000  0.4959  10 Pr 3.65-3.71, 2 Y 3.69
Pr  0.0000  0.4959  0.0000  10 Pr 3.65-3.71, 2 Y 3.69
Pr  0.0000  0.4958  0.4958  10 Pr 3.65-3.71, 2 Y 3.70
Pr  0.2504  0.7488  0.7488  11 Pr 3.67-3.71, 1 Y 3.70
Pr  0.2514  0.2468  0.7485  3 Y 3.67-3.70, 9 Pr 3.67-3.71
Pr  0.2514  0.7485  0.2468  3 Y 3.67-3.70, 9 Pr 3.67-3.71
Pr  0.5000  0.4960  0.4960  10 Pr 3.66-3.71, 2 Y 3.68
Pr  0.5000  0.4962  0.9991  4 Y 3.66-3.71, 8 Pr 3.66-3.71
Pr  0.5000  0.9991  0.4962  4 Y 3.66-3.71, 8 Pr 3.66-3.71
Pr  0.7486  0.2468  0.7485  3 Y 3.67-3.70, 9 Pr 3.67-3.71
Pr  0.7486  0.7485  0.2468  3 Y 3.67-3.70, 9 Pr 3.67-3.71
Pr  0.7496  0.7488  0.7488  11 Pr 3.67-3.71, 1 Y 3.70
Y  0.2516  0.2464  0.2464  1 Y 3.65, 11 Pr 3.67-3.70
Y  0.5000  0.9998  0.9998  2 Y 3.65, 10 Pr 3.66-3.71
Y  0.7484  0.2464  0.2464  1 Y 3.65, 11 Pr 3.67-3.70

=====

[12]
A relaxed structure of Nd4Sm3Pt4. Source: Alexandria, functional GGA-PBE.

Output
* space group: Immm
* energy of formation: -0.7670 eV/atom
* total DFT energy (no corrections): -0.4399 Ry/atom

Lattice parameters (Å, degrees): 9.2424 9.2424 9.2424 150.63 129.17 59.80
Last column: nearest neighbours and their distance in Å.
Sites, in units of the cell vectors:
Nd  0.0467  0.8317  0.2150  4 Pt 2.82-3.04
Nd  0.3833  0.1683  0.2150  4 Pt 2.82-3.04
Nd  0.6167  0.8317  0.7850  4 Pt 2.82-3.04
Nd  0.9533  0.1683  0.7850  4 Pt 2.82-3.04
Sm  0.0000  0.5000  0.5000  6 Pt 3.29-3.46
Sm  0.4026  0.4026  0.0000  1 Sm 3.12, 4 Pt 3.15, 4 Nd 3.45
Sm  0.5974  0.5974  0.0000  1 Sm 3.12, 4 Pt 3.15, 4 Nd 3.45
Pt  0.2052  0.7052  0.5000  6 Nd 2.96-3.04, 1 Sm 3.29
Pt  0.3205  0.0000  0.3205  2 Nd 2.82, 1 Pt 2.85, 4 Sm 3.15
Pt  0.6795  0.0000  0.6795  2 Nd 2.82, 1 Pt 2.85, 4 Sm 3.15
Pt  0.7948  0.2948  0.5000  6 Nd 2.96-3.04, 1 Sm 3.29

=====

[13]
A relaxed structure of LaPmZnAu. Source: Alexandria, functional GGA-PBE.

Output
* space group: P4mm
* polymorph energy (0 for the lowest one): 0.000 kcal/mol of atoms
* energy of formation: -0.5477 eV/atom
* total DFT energy (no corrections): -0.3017 Ry/atom

Lattice parameters (Å, degrees): 3.7529 3.7529 7.3303 90.00 90.00 90.00
Last column: nearest neighbours and their distance in Å.
Sites, in units of the cell vectors:
La  0.0000  0.0000  0.0000  4 Zn 3.27, 4 Au 3.29, 1 Pm 3.64
Pm  0.0000  0.0000  0.4963  4 Zn 3.17, 4 Au 3.18
Zn  0.5000  0.5000  0.2607  4 Pm 3.17, 4 La 3.27, 1 Au 3.47
Au  0.5000  0.5000  0.7342  4 Pm 3.18, 4 La 3.29, 1 Zn 3.47